# OsAu3Se, optimized geometry, DFT GGA-PBE
data_OsAu3Se
_space_group_name_H-M_alt 'P m -3 m'
_space_group_IT_number 221
_space_group_name_Hall '-P 4 2 3'
_cell_length_a 5.021
_cell_length_b 5.021
_cell_length_c 5.021
_cell_angle_alpha 90.00
_cell_angle_beta 90.00
_cell_angle_gamma 90.00
loop_
_atom_site_label
_atom_site_fract_x
_atom_site_fract_y
_atom_site_fract_z
_atom_site_occupancy
Os1 0.000 0.000 0.000 1
Au1 0.000 0.000 0.500 1
Se1 0.500 0.500 0.500 1
# - V: 126.55 Å³/cell
# - Energy relative to the lowest polymorph listed for this composition: 0 meV/atom
# - ΔE_f (raw): 1.42 eV/atom
# - N(E_F): 0.934 states/eV per atom
# - ρ: 11.29 g/cm3